## Pr3TlTe2 (PBE)

Data for crystalline Pr3TlTe2 at its relaxed geometry.

Cell: 6.434 13.650 9.074 Å, 90.00 90.01 90.00°
Space group P2_1/c (No. 14)
Inequivalent atoms, fractional coordinates:
Pr (0.249, 0.250, 0.123)
Pr (0.250, 0.583, 0.125)
Pr (0.250, 0.583, 0.627)
Tl (0.250, 0.085, 0.372)
Te (0.250, 0.083, 0.875)
Te (0.251, 0.748, 0.375)

Calculated values
Total energy: -0.1818 hartree per atom
Relative energy among the computed polymorphs: 5.1 meV/atom
Formation energy from raw total energies: -1115 meV per atom
Spin magnetization: 0.00 μB/f.u.